Compound: CsCeTl2F6
Source: Alexandria
Functional: PBE-GGA
Structure: optimized geometry

Calculated values
E_form (uncorrected), meV/atom: -2851
V, Å³/f.u.: 240
Fermi-level density of states, states/eV/atom: 0.302

a b c (Å): 6.7466 7.2928 11.7105
angles (deg): 90.00 123.69 90.00
With the nearest neighbours (Å) after each atom.
Fractional coordinates of all 20 atoms:
Cs  0.0000  0.0000  0.0000  6 F 2.94-3.15
Cs  0.0000  0.5000  0.5000  6 F 2.94-3.15
Ce  0.5000  0.0000  0.5000  6 F 2.31-2.32
Ce  0.5000  0.5000  0.0000  6 F 2.31-2.32
Tl  0.2262  0.0321  0.7341  4 F 2.67-2.97
Tl  0.2262  0.4679  0.2341  4 F 2.67-2.97
Tl  0.7738  0.5321  0.7659  4 F 2.67-2.97
Tl  0.7738  0.9679  0.2659  4 F 2.67-2.97
F  0.1654  0.1455  0.4633  1 Ce 2.31
F  0.1654  0.3545  0.9633  1 Ce 2.31
F  0.2600  0.7459  0.4009  1 Ce 2.31
F  0.2600  0.7541  0.9009  1 Ce 2.31
F  0.4249  0.0908  0.2898  1 Ce 2.32
F  0.4249  0.4092  0.7898  1 Ce 2.32
F  0.5751  0.5908  0.2102  1 Ce 2.32
F  0.5751  0.9092  0.7102  1 Ce 2.32
F  0.7400  0.2459  0.0991  1 Ce 2.31
F  0.7400  0.2541  0.5991  1 Ce 2.31
F  0.8346  0.6455  0.0367  1 Ce 2.31
F  0.8346  0.8545  0.5367  1 Ce 2.31


Compound: AlTeIr
Source: Alexandria
Functional: PBE-GGA
Structure: optimized geometry

Calculated values
E_form (uncorrected), meV/atom: 125
V, Å³/f.u.: 59
Fermi-level density of states, states/eV/atom: 0.644
Excess energy over the best structure of this formula in the dataset, meV per atom: 452

a b c (Å): 13.8129 3.1084 3.1084
angles (deg): 61.39 90.00 90.00
With the nearest neighbours (Å) after each atom.
Fractional coordinates of all 6 atoms:
Al  0.0000  0.0000  0.0000  6 Ir 2.58-2.59
Al  0.5000  0.3068  0.3068  6 Al 3.11-3.17, 6 Te 3.31-3.46
Te  0.2909  0.0031  0.0031  3 Ir 2.81-2.83, 4 Te 3.11
Te  0.7091  0.0031  0.0031  3 Ir 2.81-2.83, 4 Te 3.11
Ir  0.1342  0.3370  0.3370  3 Al 2.58-2.59, 3 Te 2.81-2.83
Ir  0.8658  0.3370  0.3370  3 Al 2.58-2.59, 3 Te 2.81-2.83


Compound: NiPSe2
Source: Alexandria
Functional: PBE-GGA
Structure: optimized geometry

Calculated values
E_form (uncorrected), meV/atom: 487
V, Å³/f.u.: 65
Fermi-level density of states, states/eV/atom: 0.536

a b c (Å): 3.1261 3.1261 6.6077
angles (deg): 90.00 90.00 90.00
With the nearest neighbours (Å) after each atom.
Fractional coordinates of all 4 atoms:
Ni  0.0000  0.0000  0.0000  8 Se 2.68
P  0.0000  0.0000  0.5000  8 Se 2.84, 4 P 3.13
Se  0.5000  0.5000  0.2293  4 Ni 2.68, 4 P 2.84
Se  0.5000  0.5000  0.7707  4 Ni 2.68, 4 P 2.84